A relaxed structure of Li5Pm4Tl6, computed with PBE.

Computed properties:
The magnetic moment is 0.00 μB per cell. As for the raw total energy: -3.1105 eV/atom. As for the energy of formation: -0.259 eV/atom.

```
data_Li5Pm4Tl6
_chemical_formula_sum 'Li20 Pm16 Tl24'
_symmetry_space_group_name_H-M 'C m c m'
_symmetry_Int_Tables_number 63
_symmetry_space_group_name_Hall '-C 2c 2'
_cell_length_a 4.895
_cell_length_b 20.242
_cell_length_c 15.144
_cell_angle_alpha 90.00
_cell_angle_beta 90.00
_cell_angle_gamma 90.00
loop_
_atom_site_label
_atom_site_type_symbol
_atom_site_fract_x
_atom_site_fract_y
_atom_site_fract_z
Li1 Li 0.000 0.002 0.250
Li2 Li 0.000 0.139 0.750
Li3 Li 0.000 0.166 0.057
Li4 Li 0.000 0.289 0.750
Pm1 Pm 0.000 0.331 0.109
Pm2 Pm 0.000 0.438 0.605
Tl1 Tl 0.000 0.060 0.564
Tl2 Tl 0.000 0.136 0.250
Tl3 Tl 0.000 0.270 0.581
Tl4 Tl 0.000 0.446 0.250
```